[1]
The following is a GGA-PBE calculation of an optimized crystal structure of Ac2La5Nd12, from Alexandria via LeMat-Bulk.

a b c (Å): 9.032 9.032 9.791
angles (deg): 109.92 109.92 82.61
Positions (direct):
Ac 0.238 0.762 0.000
Ac 0.762 0.238 0.000
La 0.190 0.190 0.239
La 0.310 0.310 0.677
La 0.500 0.500 0.500
La 0.690 0.690 0.323
La 0.810 0.810 0.761
Nd 0.064 0.556 0.195
Nd 0.074 0.074 0.774
Nd 0.114 0.671 0.573
Nd 0.329 0.886 0.427
Nd 0.368 0.368 0.053
Nd 0.444 0.936 0.805
Nd 0.556 0.064 0.195
Nd 0.632 0.632 0.947
Nd 0.671 0.114 0.573
Nd 0.886 0.329 0.427
Nd 0.926 0.926 0.226
Nd 0.936 0.444 0.805

For the size of the total moment, the calculation gives 0.00 μB per atom. For the energy above the most stable polymorph in this dataset, the calculation gives 0.005 eV per atom. Its total DFT energy (no corrections) is -4.640 eV per atom. The space group is C2/m, No. 12. The calculation puts the formation energy at 0.100 eV per atom. The value obtained for the mass density is 6.8 Mg/m³.


[2]
The following is a GGA-PBE calculation of an optimized crystal structure of AcLa2Nd6, from Alexandria via LeMat-Bulk.

a b c (Å): 3.728 3.728 27.849
angles (deg): 90.00 90.00 120.00
Positions (direct):
Ac 0.000 0.000 0.000
La 0.333 0.667 0.333
La 0.333 0.667 0.667
Nd 0.000 0.000 0.220
Nd 0.000 0.000 0.438
Nd 0.000 0.000 0.562
Nd 0.000 0.000 0.780
Nd 0.333 0.667 0.115
Nd 0.333 0.667 0.885

For the size of the total moment, the calculation gives 0.00 μB per atom. For the energy above the most stable polymorph in this dataset, the calculation gives 0.027 eV per atom. Its total DFT energy (no corrections) is -4.659 eV per atom. The space group is P-6m2, No. 187. The calculation puts the formation energy at 0.071 eV per atom. The value obtained for the mass density is 6.8 Mg/m³.